(1)
The following is a GGA-PBE calculation of crystalline YGaPt3 at its relaxed geometry, from Alexandria via LeMat-Bulk.

Properties
Polymorph energy (0 for the lowest one) in meV per atom: 271
E_tot in eV per atom: -6.13
Size of the total moment in Bohr magnetons per cell: 0.000
Energy of formation in eV/atom: -0.61
Volume in A^3/atom: 20.3

The structure in CIF format:
```
data_YGaPt3
_cell_length_a 6.264
_cell_length_b 6.316
_cell_length_c 5.127
_cell_angle_alpha 90.00
_cell_angle_beta 90.00
_cell_angle_gamma 90.00
_symmetry_space_group_name_H-M 'P b a m'
_symmetry_Int_Tables_number 55
loop_
_symmetry_equiv_pos_as_xyz
'x,y,z'
'-x,-y,-z'
'-x,-y,z'
'x,y,-z'
'x+1/2,-y+1/2,-z'
'-x+1/2,y+1/2,z'
'-x+1/2,y+1/2,-z'
'x+1/2,-y+1/2,z'
loop_
_atom_site_label
_atom_site_fract_x
_atom_site_fract_y
_atom_site_fract_z
Y1 0.000 0.000 0.000
Ga1 0.000 0.500 0.500
Pt1 0.000 0.500 0.000
Pt2 0.148 0.150 0.500
```


(2)
The following is a GGA-PBE calculation of crystalline MgCuBr2 at its relaxed geometry, from Alexandria via LeMat-Bulk.

Properties
Polymorph energy (0 for the lowest one) in meV per atom: 276
E_tot in eV per atom: -2.49
Size of the total moment in Bohr magnetons per cell: 0.000
Volume in A^3/atom: 24.0

The structure in CIF format:
```
data_MgCuBr2
_cell_length_a 3.832
_cell_length_b 3.875
_cell_length_c 6.474
_cell_angle_alpha 90.00
_cell_angle_beta 90.00
_cell_angle_gamma 90.00
_symmetry_space_group_name_H-M 'P m m m'
_symmetry_Int_Tables_number 47
loop_
_symmetry_equiv_pos_as_xyz
'x,y,z'
'-x,-y,-z'
'-x,-y,z'
'x,y,-z'
'x,-y,-z'
'-x,y,z'
'-x,y,-z'
'x,-y,z'
loop_
_atom_site_label
_atom_site_fract_x
_atom_site_fract_y
_atom_site_fract_z
Mg1 0.000 0.000 0.000
Cu1 0.500 0.000 0.500
Br1 0.000 0.500 0.500
Br2 0.500 0.500 0.000
```


(3)
The following is a GGA-PBE calculation of crystalline Tl4Sn2Hg at its relaxed geometry, from Alexandria via LeMat-Bulk.

Properties
Polymorph energy (0 for the lowest one) in meV per atom: 0
E_tot in eV per atom: -2.51
Size of the total moment in Bohr magnetons per cell: 0.000
Energy of formation in eV/atom: 0.02
Volume in A^3/atom: 29.5

The structure in CIF format:
```
data_Tl4Sn2Hg
_cell_length_a 9.302
_cell_length_b 5.519
_cell_length_c 8.821
_cell_angle_alpha 90.00
_cell_angle_beta 114.17
_cell_angle_gamma 90.00
_symmetry_space_group_name_H-M 'C 1 2/m 1'
_symmetry_Int_Tables_number 12
loop_
_symmetry_equiv_pos_as_xyz
'x,y,z'
'-x,-y,-z'
'-x,y,-z'
'x,-y,z'
'x+1/2,y+1/2,z'
'-x+1/2,-y+1/2,-z'
'-x+1/2,y+1/2,-z'
'x+1/2,-y+1/2,z'
loop_
_atom_site_label
_atom_site_fract_x
_atom_site_fract_y
_atom_site_fract_z
Tl1 0.142 0.000 0.414
Tl2 0.212 0.500 0.136
Sn1 0.059 0.500 0.698
Hg1 0.000 0.000 0.000
```